! KCa2Ru, relaxed, DFT PBE-GGA; values from VASP
&SYSTEM
  ibrav = 0, nat = 4, ntyp = 3
/
ATOMIC_SPECIES
K 39.10 K.upf
Ca 40.08 Ca.upf
Ru 101.07 Ru.upf
CELL_PARAMETERS angstrom
-2.395 2.395 4.983
2.395 -2.395 4.983
2.395 2.395 -4.983
ATOMIC_POSITIONS angstrom
K 0.000 0.000 0.000
Ca 0.000 0.000 4.983
Ca 0.000 2.395 2.491
Ru 2.395 0.000 2.491
! Total magnetic moment (μB/f.u.): 0.4
! E_form (eV per atom): 0.72